Record 1
{"formula": "K2FeAgI6", "functional": "GGA-PBE", "state": "optimized geometry", "cell": [[-5.268, 4.391, -4.019], [-6.114, -4.614, 2.973], [-0.983, 7.006, 8.852]], "species": ["K", "K", "K", "K", "Fe", "Fe", "Ag", "Ag", "I", "I", "I", "I", "I", "I", "I", "I", "I", "I", "I", "I"], "fractional_positions": [[0.025, 0.924, 0.250], [0.525, 0.576, 0.750], [0.975, 0.076, 0.750], [0.475, 0.424, 0.250], [0.500, 0.000, 0.500], [0.000, 0.500, 0.000], [0.500, 0.000, 0.000], [0.000, 0.500, 0.500], [0.288, 0.690, 0.041], [0.788, 0.810, 0.541], [0.712, 0.310, 0.959], [0.212, 0.190, 0.459], [0.309, 0.710, 0.462], [0.809, 0.790, 0.962], [0.691, 0.290, 0.538], [0.191, 0.210, 0.038], [0.917, 0.504, 0.240], [0.417, 0.996, 0.740], [0.083, 0.496, 0.760], [0.583, 0.004, 0.260]], "e_form_raw_ev_per_atom": -0.638, "space_group": "P2_1/c"}

=====

Record 2
{"formula": "KFeAgI4", "functional": "GGA-PBE", "state": "optimized geometry", "cell": [[-4.366, 1.541, -6.088], [-6.218, -2.101, 3.928], [4.638, 5.623, 2.902]], "species": ["K", "Fe", "Ag", "I", "I", "I", "I"], "fractional_positions": [[0.000, 0.000, 0.000], [0.250, 0.750, 0.500], [0.500, 0.500, 0.000], [0.182, 0.106, 0.720], [0.386, 0.818, 0.280], [0.538, 0.614, 0.720], [0.894, 0.462, 0.280]], "e_form_raw_ev_per_atom": -0.515, "space_group": "I-4"}

=====

Record 3
{"formula": "La6FeAg2I3", "functional": "GGA-PBE", "state": "optimized geometry", "cell": [[-1.790, 7.359, 0.113], [-4.124, -4.888, 4.060], [6.902, 0.282, 4.956]], "species": ["La", "La", "La", "La", "La", "La", "Fe", "Ag", "Ag", "I", "I", "I"], "fractional_positions": [[0.937, 0.642, 0.808], [0.767, 0.767, 0.200], [0.063, 0.358, 0.192], [0.642, 0.937, 0.808], [0.233, 0.233, 0.800], [0.358, 0.063, 0.192], [0.000, 0.000, 0.000], [0.334, 0.666, 0.000], [0.666, 0.334, 0.000], [0.171, 0.829, 0.500], [0.829, 0.171, 0.500], [0.500, 0.500, 0.500]], "e_form_raw_ev_per_atom": -0.598, "space_group": "C2/m"}

=====

Record 4
{"formula": "LiFeAgI5", "functional": "GGA-PBE", "state": "optimized geometry", "cell": [[-5.185, 6.273, 1.062], [-1.218, -1.116, 8.040], [9.905, 3.922, -1.478]], "species": ["Li", "Li", "Fe", "Fe", "Ag", "Ag", "I", "I", "I", "I", "I", "I", "I", "I", "I", "I"], "fractional_positions": [[0.000, 0.000, 0.500], [0.000, 0.000, 0.000], [0.655, 0.345, 0.250], [0.345, 0.655, 0.750], [0.367, 0.633, 0.250], [0.633, 0.367, 0.750], [0.117, 0.883, 0.250], [0.883, 0.117, 0.750], [0.910, 0.332, 0.160], [0.090, 0.668, 0.840], [0.668, 0.090, 0.340], [0.332, 0.910, 0.660], [0.685, 0.631, 0.449], [0.315, 0.369, 0.551], [0.369, 0.315, 0.051], [0.631, 0.685, 0.949]], "e_form_raw_ev_per_atom": -0.404, "space_group": "C2/c"}

=====

Record 5
{"formula": "FeAgIN2", "functional": "GGA-PBE", "state": "optimized geometry", "cell": [[-3.028, 0.338, 2.164], [-0.799, -3.608, -0.554], [3.647, -1.630, 5.357]], "species": ["I", "Fe", "Ag", "N", "N"], "fractional_positions": [[0.000, 0.000, 0.500], [0.000, 0.000, 0.000], [0.500, 0.500, 0.500], [0.000, 0.500, 0.000], [0.500, 0.000, 0.000]], "polymorph_energy_ev_per_fu": 0.00, "e_form_raw_ev_per_atom": 1.012, "space_group": "P4/mmm"}

=====

Record 6
{"formula": "FeAgI2N", "functional": "GGA-PBE", "state": "optimized geometry", "cell": [[-2.389, 0.469, 4.931], [4.590, -1.850, 2.400], [1.185, 3.280, 0.262]], "species": ["I", "I", "Fe", "Ag", "N"], "fractional_positions": [[0.000, 0.500, 0.000], [0.500, 0.000, 0.000], [0.000, 0.000, 0.000], [0.500, 0.500, 0.500], [0.000, 0.000, 0.500]], "polymorph_energy_ev_per_fu": 0.00, "e_form_raw_ev_per_atom": 0.382, "space_group": "P4/mmm"}

=====

Record 7
{"formula": "FeAgIN2", "functional": "GGA-PBE", "state": "optimized geometry", "cell": [[4.036, 0.000, 0.000], [0.000, 4.036, 0.000], [0.000, 0.000, 7.416]], "species": ["I", "Fe", "Ag", "N", "N"], "fractional_positions": [[0.000, 0.000, 0.500], [0.500, 0.500, 0.500], [0.000, 0.000, 0.000], [0.000, 0.500, 0.000], [0.500, 0.000, 0.000]], "polymorph_energy_ev_per_fu": 4.93, "e_form_raw_ev_per_atom": 1.998, "space_group": "P4/mmm"}

=====

Record 8
{"formula": "FeAgI2N", "functional": "GGA-PBE", "state": "optimized geometry", "cell": [[5.707, 0.000, 0.000], [0.000, 5.707, 0.000], [0.000, 0.000, 3.822]], "species": ["I", "I", "Fe", "Ag", "N"], "fractional_positions": [[0.000, 0.500, 0.000], [0.500, 0.000, 0.000], [0.500, 0.500, 0.500], [0.000, 0.000, 0.000], [0.000, 0.000, 0.500]], "polymorph_energy_ev_per_fu": 5.16, "e_form_raw_ev_per_atom": 1.415, "space_group": "P4/mmm"}

=====

Record 9
{"formula": "NaFe2AgI8", "functional": "GGA-PBE", "state": "optimized geometry", "cell": [[11.040, -2.700, 0.000], [-7.317, 8.697, 0.000], [-1.862, -2.998, 10.804]], "species": ["Na", "Fe", "Fe", "Ag", "I", "I", "I", "I", "I", "I", "I", "I"], "fractional_positions": [[0.250, 0.750, 0.500], [0.750, 0.250, 0.500], [0.500, 0.500, 0.000], [0.000, 0.000, 0.000], [0.413, 0.054, 0.359], [0.283, 0.419, 0.136], [0.283, 0.147, 0.864], [0.696, 0.054, 0.641], [0.853, 0.717, 0.136], [0.946, 0.304, 0.359], [0.946, 0.587, 0.641], [0.581, 0.717, 0.864]], "e_form_raw_ev_per_atom": -0.348, "space_group": "I-4m2"}

=====

Record 10
{"formula": "NbFeAg2I", "functional": "GGA-PBE", "state": "optimized geometry", "cell": [[5.185, 0.000, 0.000], [0.000, 5.151, 0.000], [0.000, 0.000, 5.185]], "species": ["I", "Nb", "Fe", "Ag", "Ag"], "fractional_positions": [[0.000, 0.000, 0.000], [0.000, 0.500, 0.000], [0.500, 0.500, 0.500], [0.000, 0.000, 0.500], [0.500, 0.000, 0.000]], "e_form_raw_ev_per_atom": 1.755, "space_group": "P4/mmm"}

=====

Record 11
{"formula": "FeNiAgI2", "functional": "GGA-PBE", "state": "optimized geometry", "cell": [[5.211, 0.000, 0.000], [0.000, 4.961, 0.000], [0.000, 0.000, 5.211]], "species": ["I", "I", "Ni", "Fe", "Ag"], "fractional_positions": [[0.000, 0.000, 0.500], [0.500, 0.000, 0.000], [0.500, 0.500, 0.500], [0.000, 0.000, 0.000], [0.000, 0.500, 0.000]], "e_form_raw_ev_per_atom": 1.012, "space_group": "P4/mmm"}